Record 1
## LiCoBiF6 (PBE with a Hubbard U)

Data for LiCoBiF6 after structural relaxation.

* E_tot: -4.92 eV/atom
* DOS at the Fermi energy: 0.0 states/eV per cell
* total magnetization: 0.333 μB per atom

Cell lengths 5.2970, 5.2970, 9.9656 Å; angles 90.00, 90.00, 120.00 degrees
Space group P-31c (No. 163)
Unique sites:
1 Li 0.3333 0.6667 0.2500 x2
2 Co 0.3333 0.6667 0.7500 x2
3 Bi 0.0000 0.0000 0.0000 x2
4 F 0.0011 0.3508 0.6367 x12

Record 2
## MnCoBiF6 (PBE with a Hubbard U)

Data for MnCoBiF6 after structural relaxation.

* E_tot: -5.25 eV/atom
* DOS at the Fermi energy: 6.8 states/eV per cell
* total magnetization: 0.778 μB per atom

Cell lengths 5.4467, 5.4467, 10.4718 Å; angles 90.00, 90.00, 120.00 degrees
Space group P-31c (No. 163)
Unique sites:
1 Mn 0.3333 0.6667 0.2500 x2
2 Co 0.3333 0.6667 0.7500 x2
3 Bi 0.0000 0.0000 0.0000 x2
4 F 0.0099 0.3440 0.1317 x12

Record 3
## CoBiNF2 (PBE with a Hubbard U)

Data for CoBiNF2 after structural relaxation.

* offset from the most stable computed form: 459 meV/atom
* DOS at the Fermi energy: 2.7 states/eV per cell
* total magnetization: 0.444 μB per atom

Cell lengths 4.514, 4.514, 4.393 Å; angles 90.00, 90.00, 90.00 degrees
Space group P4/mmm (No. 123)
Unique sites:
1 Co 0.000 0.000 0.000 x1
2 Bi 0.500 0.500 0.500 x1
3 N 0.500 0.500 0.000 x1
4 F 0.000 0.500 0.500 x2

Record 4
## CoBiNF2 (PBE with a Hubbard U)

Data for CoBiNF2 after structural relaxation.

* offset from the most stable computed form: 0 meV/atom
* DOS at the Fermi energy: 2.3 states/eV per cell
* total magnetization: 0.520 μB per atom

Cell lengths 4.077, 4.077, 3.876 Å; angles 90.00, 90.00, 90.00 degrees
Space group P4/mmm (No. 123)
Unique sites:
1 Co 0.000 0.000 0.000 x1
2 Bi 0.500 0.500 0.500 x1
3 N 0.000 0.000 0.500 x1
4 F 0.000 0.500 0.000 x2

Record 5
## NaCo2BiF8 (PBE with a Hubbard U)

Data for NaCo2BiF8 after structural relaxation.

* E_tot: -4.85 eV/atom
* DOS at the Fermi energy: 0.0 states/eV per cell
* total magnetization: 0.500 μB per atom

Cell lengths 5.076, 5.081, 6.728 Å; angles 89.91, 89.92, 89.49 degrees
Space group P-1 (No. 2)
Unique sites:
1 Na 0.000 0.000 0.000 x1
2 Co 0.500 0.500 0.236 x2
3 Bi 0.000 0.000 0.500 x1
4 F 0.215 0.784 0.253 x2
5 F 0.215 0.784 0.747 x2
6 F 0.321 0.320 0.001 x2
7 F 0.321 0.320 0.500 x2

Record 6
## Nb2CoBiF (PBE with a Hubbard U)

Data for Nb2CoBiF after structural relaxation.

* E_tot: -5.38 eV/atom
* DOS at the Fermi energy: 6.6 states/eV per cell
* total magnetization: 0.000 μB per atom

Cell lengths 4.639, 4.639, 4.841 Å; angles 90.00, 90.00, 90.00 degrees
Space group P4/mmm (No. 123)
Unique sites:
1 Nb 0.000 0.500 0.000 x2
2 Co 0.000 0.000 0.000 x1
3 Bi 0.000 0.000 0.500 x1
4 F 0.500 0.500 0.500 x1

Record 7
## CoNiBi2F (PBE with a Hubbard U)

Data for CoNiBi2F after structural relaxation.

* E_tot: -3.02 eV/atom
* DOS at the Fermi energy: 4.7 states/eV per cell
* total magnetization: 0.589 μB per atom

Cell lengths 4.990, 4.990, 4.552 Å; angles 90.00, 90.00, 90.00 degrees
Space group P4/mmm (No. 123)
Unique sites:
1 Co 0.000 0.000 0.000 x1
2 Ni 0.000 0.000 0.500 x1
3 Bi 0.000 0.500 0.500 x2
4 F 0.500 0.500 0.000 x1

Record 8
## CoBiO2F (PBE with a Hubbard U)

Data for CoBiO2F after structural relaxation.

* E_tot: -4.67 eV/atom
* DOS at the Fermi energy: 4.1 states/eV per cell
* total magnetization: 0.468 μB per atom

Cell lengths 4.381, 4.381, 4.449 Å; angles 90.00, 90.00, 90.00 degrees
Space group P4/mmm (No. 123)
Unique sites:
1 Co 0.000 0.000 0.000 x1
2 Bi 0.500 0.500 0.500 x1
3 O 0.000 0.500 0.500 x2
4 F 0.500 0.500 0.000 x1

Record 9
## CoBiO2F (PBE with a Hubbard U)

Data for CoBiO2F after structural relaxation.

* E_tot: -5.26 eV/atom
* DOS at the Fermi energy: 1.0 states/eV per cell
* total magnetization: 0.560 μB per atom

Cell lengths 3.975, 3.975, 3.942 Å; angles 90.00, 90.00, 90.00 degrees
Space group P4/mmm (No. 123)
Unique sites:
1 Co 0.000 0.000 0.000 x1
2 Bi 0.500 0.500 0.500 x1
3 O 0.000 0.500 0.000 x2
4 F 0.000 0.000 0.500 x1

Record 10
## RbCoBiF6 (PBE with a Hubbard U)

Data for RbCoBiF6 after structural relaxation.

* E_tot: -4.77 eV/atom
* DOS at the Fermi energy: 0.0 states/eV per cell
* total magnetization: 0.333 μB per atom

Cell lengths 5.433, 5.898, 5.907 Å; angles 60.08, 89.99, 89.94 degrees
Space group P1 (No. 1)
Unique sites:
1 Rb 0.000 0.000 0.000 x1
2 Co 0.566 0.333 0.333 x1
3 Bi 0.502 0.667 0.667 x1
4 F 0.367 0.054 0.642 x1
5 F 0.367 0.304 0.054 x1
6 F 0.367 0.643 0.303 x1
7 F 0.764 0.423 0.584 x1
8 F 0.764 0.584 0.992 x1
9 F 0.764 0.992 0.424 x1

Record 11
## Rb2Co3BiF12 (PBE with a Hubbard U)

Data for Rb2Co3BiF12 after structural relaxation.

* E_tot: -4.74 eV/atom
* DOS at the Fermi energy: 33.5 states/eV per cell
* total magnetization: 0.556 μB per atom

Cell lengths 7.5515, 7.5515, 18.2665 Å; angles 90.00, 90.00, 120.00 degrees
Space group R-3m (No. 166, hexagonal axes)
Unique sites:
1 Rb 0.0000 0.0000 0.1135 x6
2 Co 0.0000 0.5000 0.0000 x9
3 Bi 0.0000 0.0000 0.5000 x3
4 F 0.0179 0.5090 0.1111 x18
5 F 0.0752 0.5376 0.3363 x18

Record 12
## Co2ReBiF (PBE with a Hubbard U)

Data for Co2ReBiF after structural relaxation.

* E_tot: -4.90 eV/atom
* DOS at the Fermi energy: 4.7 states/eV per cell
* total magnetization: 0.556 μB per atom

Cell lengths 4.844, 4.844, 3.953 Å; angles 90.00, 90.00, 90.00 degrees
Space group P4/mmm (No. 123)
Unique sites:
1 Co 0.000 0.500 0.000 x2
2 Re 0.000 0.000 0.000 x1
3 Bi 0.500 0.500 0.500 x1
4 F 0.000 0.000 0.500 x1

Record 13
## CoRe2BiF (PBE with a Hubbard U)

Data for CoRe2BiF after structural relaxation.

* E_tot: -4.58 eV/atom
* DOS at the Fermi energy: 5.7 states/eV per cell
* total magnetization: 2.134 μB per atom

Cell lengths 5.426, 5.426, 5.027 Å; angles 90.00, 90.00, 90.00 degrees
Space group P4/mmm (No. 123)
Unique sites:
1 Co 0.000 0.000 0.000 x1
2 Re 0.000 0.500 0.500 x2
3 Bi 0.000 0.000 0.500 x1
4 F 0.500 0.500 0.000 x1

Record 14
## SrCo2BiF8 (PBE with a Hubbard U)

Data for SrCo2BiF8 after structural relaxation.

* E_tot: -5.00 eV/atom
* DOS at the Fermi energy: 5.9 states/eV per cell
* total magnetization: 0.417 μB per atom

Cell lengths 4.098, 5.498, 7.991 Å; angles 83.10, 88.45, 82.06 degrees
Space group P-1 (No. 2)
Unique sites:
1 Sr 0.000 0.000 0.000 x1
2 Co 0.457 0.462 0.217 x2
3 Bi 0.000 0.000 0.500 x1
4 F 0.064 0.735 0.763 x2
5 F 0.100 0.750 0.282 x2
6 F 0.444 0.238 0.453 x2
7 F 0.450 0.269 0.990 x2

Record 15
## Tl2CoBiF6 (PBE with a Hubbard U)

Data for Tl2CoBiF6 after structural relaxation.

* E_tot: -4.36 eV/atom
* DOS at the Fermi energy: 3.0 states/eV per cell
* total magnetization: 0.390 μB per atom

Cell lengths 5.830, 8.900, 6.913 Å; angles 90.00, 90.00, 90.00 degrees
Space group Pmmn (No. 59, origin choice 2)
Unique sites:
1 Tl 0.250 0.012 0.243 x4
2 Co 0.250 0.750 0.755 x2
3 Bi 0.250 0.250 0.744 x2
4 F 0.007 0.250 0.043 x4
5 F 0.007 0.250 0.445 x4
6 F 0.250 0.509 0.759 x4

Record 16
## TlCo2BiF8 (PBE with a Hubbard U)

Data for TlCo2BiF8 after structural relaxation.

* E_tot: -4.72 eV/atom
* DOS at the Fermi energy: 0.0 states/eV per cell
* total magnetization: 0.500 μB per atom

Cell lengths 5.336, 5.378, 7.546 Å; angles 81.95, 81.85, 82.85 degrees
Space group P-1 (No. 2)
Unique sites:
1 Tl 0.000 0.000 0.000 x1
2 Co 0.474 0.476 0.213 x2
3 Bi 0.000 0.000 0.500 x1
4 F 0.226 0.762 0.715 x2
5 F 0.252 0.785 0.284 x2
6 F 0.278 0.294 0.436 x2
7 F 0.332 0.346 0.010 x2